[1]
## NaAcTbPb (PBE)

Data for NaAcTbPb after structural relaxation.

Final energy: -3.59 eV/atom
Crystal system: cubic
Total magnetic moment: 0.010 μB per cell
Theoretical density: 7.90 g/cm3

CIF file:
```
data_NaAcTbPb
_space_group_name_H-M_alt 'F -4 3 m'
_space_group_IT_number 216
_space_group_name_Hall 'F -4 2 3'
_cell_length_a 8.031
_cell_length_b 8.031
_cell_length_c 8.031
_cell_angle_alpha 90.00
_cell_angle_beta 90.00
_cell_angle_gamma 90.00
loop_
_atom_site_label
_atom_site_type_symbol
_atom_site_fract_x
_atom_site_fract_y
_atom_site_fract_z
Na1 Na 0.000 0.000 0.000
Ac1 Ac 0.250 0.250 0.750
Tb1 Tb 0.250 0.250 0.250
Pb1 Pb 0.000 0.000 0.500
```



[2]
## Hf3PaTl3Te8 (PBE)

Data for Hf3PaTl3Te8 after structural relaxation.

Crystal system: monoclinic
Total magnetic moment: 3.906 μB per cell
Theoretical density: 8.05 g/cm3
E_form (uncorrected): -0.630 eV per atom

CIF file:
```
data_Hf3PaTl3Te8
_space_group_name_H-M_alt 'C 1 2/m 1'
_space_group_IT_number 12
_cell_length_a 14.096
_cell_length_b 8.147
_cell_length_c 9.815
_cell_angle_alpha 90.00
_cell_angle_beta 118.55
_cell_angle_gamma 90.00
loop_
_space_group_symop_operation_xyz
'x,y,z'
'-x,-y,-z'
'-x,y,-z'
'x,-y,z'
'x+1/2,y+1/2,z'
'-x+1/2,-y+1/2,-z'
'-x+1/2,y+1/2,-z'
'x+1/2,-y+1/2,z'
loop_
_atom_site_label
_atom_site_type_symbol
_atom_site_fract_x
_atom_site_fract_y
_atom_site_fract_z
Hf1 Hf 0.000 0.000 0.000
Hf2 Hf 0.250 0.250 0.000
Pa1 Pa 0.000 0.500 0.000
Tl1 Tl 0.000 0.500 0.500
Tl2 Tl 0.250 0.250 0.500
Te1 Te 0.017 0.238 0.789
Te2 Te 0.233 0.000 0.200
Te3 Te 0.245 0.500 0.211
```



[3]
## TaFe2Tc (PBE)

Data for TaFe2Tc after structural relaxation.

Crystal system: trigonal
Energy above the lowest structure with this stoichiometry: 300 meV/atom
Total magnetic moment: 13.853 μB per cell
Theoretical density: 11.31 g/cm3

CIF file:
```
data_TaFe2Tc
_space_group_name_H-M_alt 'R 3 m'
_space_group_IT_number 160
_space_group_name_Hall 'R 3 -2"'
_cell_length_a 2.7851
_cell_length_b 2.7851
_cell_length_c 25.6189
_cell_angle_alpha 90.00
_cell_angle_beta 90.00
_cell_angle_gamma 120.00
loop_
_atom_site_label
_atom_site_type_symbol
_atom_site_fract_x
_atom_site_fract_y
_atom_site_fract_z
Ta1 Ta 0.0000 0.0000 0.0000
Fe1 Fe 0.0000 0.0000 0.2465
Fe2 Fe 0.0000 0.0000 0.5066
Tc1 Tc 0.0000 0.0000 0.7607
```



[4]
## KPdI2Cl (PBE)

Data for KPdI2Cl after structural relaxation.

Crystal system: tetragonal
Total magnetic moment: 0.000 μB per cell
Theoretical density: 4.56 g/cm3
E_form (uncorrected): -0.773 eV per atom

CIF file:
```
data_KPdI2Cl
_space_group_name_H-M_alt 'P 4/m m m'
_space_group_IT_number 123
_space_group_name_Hall '-P 4 2'
_cell_length_a 5.630
_cell_length_b 5.630
_cell_length_c 4.994
_cell_angle_alpha 90.00
_cell_angle_beta 90.00
_cell_angle_gamma 90.00
loop_
_atom_site_label
_atom_site_type_symbol
_atom_site_fract_x
_atom_site_fract_y
_atom_site_fract_z
K1 K 0.000 0.000 0.000
Pd1 Pd 0.500 0.500 0.500
I1 I 0.000 0.500 0.500
Cl1 Cl 0.500 0.500 0.000
```



[5]
## Sn2BOsS (PBE)

Data for Sn2BOsS after structural relaxation.

Crystal system: tetragonal
Energy above the lowest structure with this stoichiometry: 0 meV/atom
Total magnetic moment: 0.841 μB per cell
Theoretical density: 7.81 g/cm3
E_form (uncorrected): 0.778 eV per atom

CIF file:
```
data_Sn2BOsS
_space_group_name_H-M_alt 'P 4/m m m'
_space_group_IT_number 123
_space_group_name_Hall '-P 4 2'
_cell_length_a 5.015
_cell_length_b 5.015
_cell_length_c 3.976
_cell_angle_alpha 90.00
_cell_angle_beta 90.00
_cell_angle_gamma 90.00
loop_
_atom_site_label
_atom_site_type_symbol
_atom_site_fract_x
_atom_site_fract_y
_atom_site_fract_z
Sn1 Sn 0.000 0.500 0.000
B1 B 0.000 0.000 0.000
Os1 Os 0.000 0.000 0.500
S1 S 0.500 0.500 0.500
```



[6]
## Ti2ReO2 (PBE)

Data for Ti2ReO2 after structural relaxation.

Crystal system: tetragonal
Energy above the lowest structure with this stoichiometry: 0 meV/atom
Total magnetic moment: 0.009 μB per cell
Theoretical density: 8.49 g/cm3
E_form (uncorrected): -1.405 eV per atom

CIF file:
```
data_Ti2ReO2
_space_group_name_H-M_alt 'I 4/m m m'
_space_group_IT_number 139
_space_group_name_Hall '-I 4 2'
_cell_length_a 3.296
_cell_length_b 3.296
_cell_length_c 11.307
_cell_angle_alpha 90.00
_cell_angle_beta 90.00
_cell_angle_gamma 90.00
loop_
_atom_site_label
_atom_site_type_symbol
_atom_site_fract_x
_atom_site_fract_y
_atom_site_fract_z
Ti1 Ti 0.000 0.000 0.148
Re1 Re 0.000 0.000 0.500
O1 O 0.000 0.500 0.250
```



[7]
## Mg2TaSb (PBE)

Data for Mg2TaSb after structural relaxation.

Crystal system: tetragonal
Total magnetic moment: 0.000 μB per cell
Theoretical density: 6.56 g/cm3
E_form (uncorrected): 0.204 eV per atom

CIF file:
```
data_Mg2TaSb
_space_group_name_H-M_alt 'P 4 m m'
_space_group_IT_number 99
_cell_length_a 3.069
_cell_length_b 3.069
_cell_length_c 9.437
_cell_angle_alpha 90.00
_cell_angle_beta 90.00
_cell_angle_gamma 90.00
loop_
_space_group_symop_operation_xyz
'x,y,z'
'-y,x,z'
'-x,-y,z'
'y,-x,z'
'-x,y,z'
'y,x,z'
'x,-y,z'
'-y,-x,z'
loop_
_atom_site_label
_atom_site_type_symbol
_atom_site_fract_x
_atom_site_fract_y
_atom_site_fract_z
Mg1 Mg 0.000 0.000 0.000
Mg2 Mg 0.500 0.500 0.247
Ta1 Ta 0.500 0.500 0.776
Sb1 Sb 0.000 0.000 0.547
```



[8]
## Na5As2Se5 (PBE)

Data for Na5As2Se5 after structural relaxation.

Crystal system: monoclinic
Total magnetic moment: 0.000 μB per cell
Theoretical density: 3.39 g/cm3
E_form (uncorrected): -0.647 eV per atom

CIF file:
```
data_Na5As2Se5
_space_group_name_H-M_alt 'C 1 2/m 1'
_space_group_IT_number 12
_cell_length_a 12.990
_cell_length_b 4.449
_cell_length_c 11.870
_cell_angle_alpha 90.00
_cell_angle_beta 109.65
_cell_angle_gamma 90.00
loop_
_space_group_symop_operation_xyz
'x,y,z'
'-x,-y,-z'
'-x,y,-z'
'x,-y,z'
'x+1/2,y+1/2,z'
'-x+1/2,-y+1/2,-z'
'-x+1/2,y+1/2,-z'
'x+1/2,-y+1/2,z'
loop_
_atom_site_label
_atom_site_type_symbol
_atom_site_fract_x
_atom_site_fract_y
_atom_site_fract_z
Na1 Na 0.000 0.000 0.000
Na2 Na 0.152 0.000 0.539
Na3 Na 0.238 0.000 0.853
As1 As 0.050 0.500 0.288
Se1 Se 0.000 0.500 0.500
Se2 Se 0.107 0.500 0.899
Se3 Se 0.162 0.000 0.286
```



Q: Which of these has the lowest theoretical density?
A: Na5As2Se5